(1)
Below is crystalline K2RbAg at its relaxed geometry, with properties calculated at the GGA-PBE level.

The structure in extended XYZ format:
```
12
Lattice="5.422 0.000 0.000 -2.711 4.696 0.000 0.000 0.000 28.540" Properties=species:S:1:pos:R:3 pbc="T T T"
K 0.000 0.000 0.000
K 0.000 0.000 6.500
K 0.000 3.131 19.027
K 0.000 3.131 25.527
K 2.711 1.565 9.513
K 2.711 1.565 16.013
Rb 0.000 0.000 12.814
Rb 0.000 3.131 3.301
Rb 2.711 1.565 22.328
Ag 0.000 0.000 17.469
Ag 0.000 3.131 7.956
Ag 2.711 1.565 26.983
```

Summary:
Energy above the lowest structure with this stoichiometry = 49 meV per atom
Calculated formation energy = 0.083 eV per atom

***

(2)
Below is crystalline La2ThTe3 at its relaxed geometry, with properties calculated at the GGA-PBE level.

The structure in extended XYZ format:
```
12
Lattice="4.550 0.000 0.000 0.000 6.423 0.000 0.000 0.000 13.589" Properties=species:S:1:pos:R:3 pbc="T T T"
La 0.000 0.000 2.295
La 0.000 0.000 11.294
La 2.275 3.212 4.499
La 2.275 3.212 9.089
Th 0.000 0.000 6.794
Th 2.275 3.212 0.000
Te 0.000 3.212 2.220
Te 0.000 3.212 6.794
Te 0.000 3.212 11.369
Te 2.275 0.000 0.000
Te 2.275 0.000 4.574
Te 2.275 0.000 9.014
```

Summary:
Formation energy from raw total energies = -1387 meV per atom

***

(3)
Below is crystalline ScMo2Pt at its relaxed geometry, with properties calculated at the GGA-PBE level.

The structure in extended XYZ format:
```
8
Lattice="3.490 0.000 0.000 0.000 4.161 0.000 0.000 0.000 9.205" Properties=species:S:1:pos:R:3 pbc="T T T"
Sc 0.000 0.000 0.000
Sc 1.745 2.080 4.602
Mo 0.000 2.080 2.324
Mo 0.000 2.080 6.880
Mo 1.745 0.000 2.278
Mo 1.745 0.000 6.927
Pt 0.000 0.000 4.602
Pt 1.745 2.080 0.000
```

Summary:
Energy above the lowest structure with this stoichiometry = 45 meV per atom
Calculated formation energy = -0.265 eV per atom

***

(4)
Below is crystalline Sr2MnNi at its relaxed geometry, with properties calculated at the GGA-PBE level.

The structure in extended XYZ format:
```
16
Lattice="7.343 0.000 0.000 0.000 7.343 0.000 0.000 0.000 7.343" Properties=species:S:1:pos:R:3 pbc="T T T"
Sr 0.000 0.000 0.000
Sr 0.000 3.671 3.671
Sr 1.836 1.836 1.836
Sr 1.836 5.507 5.507
Sr 3.671 0.000 3.671
Sr 3.671 3.671 0.000
Sr 5.507 1.836 5.507
Sr 5.507 5.507 1.836
Mn 1.836 1.836 5.507
Mn 1.836 5.507 1.836
Mn 5.507 1.836 1.836
Mn 5.507 5.507 5.507
Ni 0.000 0.000 3.671
Ni 0.000 3.671 0.000
Ni 3.671 0.000 0.000
Ni 3.671 3.671 3.671
```

Summary:
Calculated formation energy = 0.607 eV per atom

***

(5)
Below is crystalline AcHo2Tl2 at its relaxed geometry, with properties calculated at the GGA-PBE level.

The structure in extended XYZ format:
```
10
Lattice="4.870 0.000 0.000 0.000 4.870 0.000 0.000 0.000 13.811" Properties=species:S:1:pos:R:3 pbc="T T T"
Ac 0.000 0.000 0.000
Ac 2.435 2.435 6.906
Ho 0.000 2.435 3.453
Ho 0.000 2.435 10.358
Ho 2.435 0.000 3.453
Ho 2.435 0.000 10.358
Tl 0.000 0.000 5.445
Tl 0.000 0.000 8.367
Tl 2.435 2.435 1.461
Tl 2.435 2.435 12.350
```

Summary:
Calculated formation energy = -0.233 eV per atom

***

(6)
Below is crystalline NaCaNb at its relaxed geometry, with properties calculated at the GGA-PBE level.

The structure in extended XYZ format:
```
6
Lattice="3.392 0.000 0.000 1.695 5.977 0.000 0.006 3.090 8.794" Properties=species:S:1:pos:R:3 pbc="T T T"
Na 0.000 0.000 0.000
Na 1.691 2.570 1.700
Ca 3.396 5.314 3.604
Ca 3.397 2.195 5.360
Nb 1.700 4.901 6.414
Nb 3.398 6.353 7.608
```

Summary:
Energy above the lowest structure with this stoichiometry = 317 meV per atom
Calculated formation energy = 0.505 eV per atom

***

Number 1: E -1.42 eV per atom, V 60.6 Å³ per atom. Number 2: E -5.84 eV per atom, V 33.1 Å³ per atom. Number 3: E -8.77 eV per atom, V 16.7 Å³ per atom. Number 4: E -3.97 eV per atom, V 24.7 Å³ per atom. Number 5: E -3.83 eV per atom, V 32.8 Å³ per atom. Number 6: E -3.96 eV per atom, V 29.7 Å³ per atom.